This record from the Alexandria database describes Er2LuPa after structural relaxation. The functional is PBE.

Unit cell a=5.4897 b=5.4897 c=5.4897 alpha=60.00 beta=60.00 gamma=60.00
Last column: nearest neighbours and their distance in Å.
Fractional coordinates of all 4 atoms:
Er 0.2500 0.2500 0.2500  4 Pa 3.36, 4 Lu 3.36
Er 0.7500 0.7500 0.7500  4 Pa 3.36, 4 Lu 3.36
Lu 0.0000 0.0000 0.0000  8 Er 3.36
Pa 0.5000 0.5000 0.5000  8 Er 3.36

## Properties
Electronic total energy (eV for the cell shown): -21.83
E_form (eV per formula unit): 1.32
Relative energy among the computed polymorphs (meV/atom): 208
DOS(E_F) (states/eV/f.u.): 10.20
Total magnetization (μB per atom): 0.25